The following is a SCAN calculation of a PBEsol-optimized structure of LiMn3N, from Alexandria via LeMat-Bulk. Values from VASP.

Cell and atoms, written as Quantum ESPRESSO input:
```
&SYSTEM
  ibrav = 0, nat = 5, ntyp = 3
/
ATOMIC_SPECIES
Li 6.94 Li.upf
Mn 54.94 Mn.upf
N 14.01 N.upf
CELL_PARAMETERS angstrom
3.727 0.000 0.000
0.000 3.727 0.000
0.000 0.000 3.727
ATOMIC_POSITIONS crystal
Li 0.000 0.000 0.000
Mn 0.000 0.500 0.500
Mn 0.500 0.000 0.500
Mn 0.500 0.500 0.000
N 0.500 0.500 0.500
```

Results
SG: Pm-3m (221)
ΔE_f (raw): -17.2 kJ per mole of atoms
Size of the total moment: 8.23 Bohr magnetons per cell

The following is a SCAN calculation of a PBEsol-optimized structure of FeAg2Os, from Alexandria via LeMat-Bulk. Values from VASP.

Cell and atoms, written as Quantum ESPRESSO input:
```
&SYSTEM
  ibrav = 0, nat = 4, ntyp = 3
/
ATOMIC_SPECIES
Fe 55.84 Fe.upf
Ag 107.87 Ag.upf
Os 190.23 Os.upf
CELL_PARAMETERS angstrom
1.415 -2.264 0.000
1.415 2.264 0.000
0.000 0.000 9.214
ATOMIC_POSITIONS crystal
Fe 0.000 0.000 0.000
Ag 0.000 0.000 0.486
Ag 0.500 0.500 0.752
Os 0.500 0.500 0.218
```

Results
ΔE_f: 0.348 eV per atom
SG: Cmm2 (35)
Size of the total moment: 3.16 Bohr magnetons per cell